Compound: Ba3Cr2O6
Source: Alexandria
Functional: PBE+U
Structure: optimized geometry

Computed properties:
total magnetic moment = 0.545 μB per atom
total energy = -6.872 eV per atom
N(E_F) = 1.12 states/eV/cell
theoretical density = 5.72 g cm⁻³
volume = 16.16 Å³ per atom

Lattice parameters (Å, degrees): 4.0559 4.0559 21.6142 90.00 90.00 90.00
Space group I4/mmm (No. 139)
Symmetry-distinct sites (fractional):
Ba: 0.0000 0.0000 0.0000 [2 per cell]
Ba: 0.0000 0.0000 0.1814 [4 per cell]
Cr: 0.0000 0.0000 0.3969 [4 per cell]
O: 0.0000 0.0000 0.3082 [4 per cell]
O: 0.0000 0.5000 0.0877 [8 per cell]